! Rb2BaHfCl6 | Alexandria via LeMat-Bulk | PBE | relaxed; values from VASP
&SYSTEM
  ibrav = 0, nat = 10, ntyp = 4
/
ATOMIC_SPECIES
Ba 137.33 Ba.upf
Hf 178.49 Hf.upf
Cl 35.45 Cl.upf
Rb 85.47 Rb.upf
CELL_PARAMETERS angstrom
-1.4662 3.3373 -6.9814
5.7678 -4.2655 -3.2504
-1.4967 -4.5073 -6.2826
ATOMIC_POSITIONS crystal
Ba 0.5000 0.5000 0.0000
Hf 0.0000 0.0000 0.0000
Cl 0.7710 0.2290 0.0000
Cl 0.2290 0.2290 0.0000
Cl 0.2290 0.2290 0.5420
Cl 0.7710 0.7710 0.4580
Cl 0.7710 0.7710 0.0000
Cl 0.2290 0.7710 0.0000
Rb 0.2500 0.7500 0.5000
Rb 0.7500 0.2500 0.5000
! - Total energy: -42.5 eV per cell
! - Space-group type: Fm-3m